Entry 1:
Entry from the Open Quantum Materials Database: a relaxed structure of Nb4B3Pb (PBE).

a = 3.306 Å, b = 3.306 Å, c = 24.903 Å
α = 90.00°, β = 90.00°, γ = 120.00°
Sites, in units of the cell vectors:
Nb1 0.000 0.000 0.154
Nb2 0.667 0.333 0.552
Nb3 0.333 0.667 0.448
Nb4 0.000 0.000 0.654
Nb5 0.667 0.333 0.948
Nb6 0.000 0.000 0.846
Nb7 0.333 0.667 0.052
Nb8 0.000 0.000 0.346
B1 0.000 0.000 0.500
B2 0.667 0.333 0.393
B3 0.333 0.667 0.893
B4 0.667 0.333 0.107
B5 0.000 0.000 0.000
B6 0.333 0.667 0.607
Pb1 0.667 0.333 0.750
Pb2 0.333 0.667 0.250

Energy: -8.450 eV/atom
Space group: P6_3/mmc



Entry 2:
Entry from the Open Quantum Materials Database: a relaxed structure of Pr2Ni2Br (PBE).

a = 4.058 Å, b = 4.058 Å, c = 8.471 Å
α = 90.00°, β = 90.00°, γ = 120.00°
Sites, in units of the cell vectors:
Pr1 0.000 0.000 0.719
Pr2 0.000 0.000 0.281
Br1 0.667 0.333 0.000
Ni1 0.667 0.333 0.500
Ni2 0.333 0.667 0.500

Energy: -5.257 eV/atom
Space group: P-6m2



Entry 3:
Entry from the Open Quantum Materials Database: a relaxed structure of LuScTa2Ge2 (PBE).

a = 3.964 Å, b = 3.964 Å, c = 7.534 Å
α = 90.00°, β = 90.00°, γ = 90.00°
Sites, in units of the cell vectors:
Lu1 0.000 0.000 0.354
Ta1 0.500 0.000 0.998
Ta2 0.000 0.500 0.998
Ge1 0.000 0.000 0.739
Ge2 0.500 0.500 0.258
Sc1 0.500 0.500 0.652

Energy: -7.885 eV/atom
Space group: P4mm



Entry 4:
Entry from the Open Quantum Materials Database: a relaxed structure of DyHoAl2 (PBE).

a = 6.227 Å, b = 6.227 Å, c = 5.082 Å
α = 90.00°, β = 90.00°, γ = 110.22°
Sites, in units of the cell vectors:
Dy1 0.360 0.640 0.750
Dy2 0.640 0.360 0.250
Ho1 0.875 0.125 0.750
Ho2 0.125 0.875 0.250
Al1 0.625 0.854 0.250
Al2 0.854 0.625 0.750
Al3 0.375 0.146 0.750
Al4 0.146 0.375 0.250

Space group: Cmcm
E above lowest polymorph: 0 meV per atom



Entry 5:
Entry from the Open Quantum Materials Database: a relaxed structure of ScCuSiOs (PBE).

a = 4.400 Å, b = 4.400 Å, c = 4.400 Å
α = 60.00°, β = 60.00°, γ = 60.00°
Sites, in units of the cell vectors:
Si1 0.000 0.000 0.000
Sc1 0.250 0.250 0.250
Cu1 0.750 0.750 0.750
Os1 0.500 0.500 0.500

Space group: F-43m
E above lowest polymorph: 371 meV per atom



Entry 6:
Entry from the Open Quantum Materials Database: a relaxed structure of RbScHgO3 (PBE).

a = 7.315 Å, b = 7.315 Å, c = 8.680 Å
α = 90.00°, β = 90.00°, γ = 153.26°
Sites, in units of the cell vectors:
Rb1 0.818 0.182 0.250
Rb2 0.182 0.818 0.750
Hg1 0.108 0.892 0.250
Hg2 0.892 0.108 0.750
O1 0.477 0.523 0.250
O2 0.523 0.477 0.750
O3 0.098 0.902 0.016
O4 0.902 0.098 0.516
O5 0.902 0.098 0.984
O6 0.098 0.902 0.484
Sc1 0.500 0.500 0.000
Sc2 0.500 0.500 0.500

Energy: -5.535 eV/atom
Space group: Cmcm